Version 1
Material: TeSe3
Method: DFT, SCAN
State: PBEsol geometry

Summary:
- SG = Cmmm (65)
- total moment (μB per formula unit) = 0.00

Cell: 4.168 4.168 7.605 Å, 90.00 90.00 125.35°
Sites, in units of the cell vectors:
Te (0.000, 0.000, 0.000)
Se (0.000, 0.000, 0.500)
Se (0.500, 0.500, 0.262)
Se (0.500, 0.500, 0.738)


Version 2
Material: TeSe3
Method: DFT, SCAN
State: PBEsol geometry

Summary:
- SG = Pm-3n (223)
- total moment (μB per formula unit) = 0.00

Cell: 5.531 5.531 5.531 Å, 90.00 90.00 90.00°
Sites, in units of the cell vectors:
Te (0.000, 0.000, 0.000)
Te (0.500, 0.500, 0.500)
Se (0.000, 0.250, 0.500)
Se (0.000, 0.750, 0.500)
Se (0.250, 0.500, 0.000)
Se (0.500, 0.000, 0.250)
Se (0.500, 0.000, 0.750)
Se (0.750, 0.500, 0.000)


Version 3
Material: TeSe3
Method: DFT, SCAN
State: PBEsol geometry

Summary:
- SG = Fm-3m (225)
- total moment (μB per formula unit) = 0.00

Cell: 4.921 4.921 4.921 Å, 60.00 60.00 60.00°
Sites, in units of the cell vectors:
Te (0.000, 0.000, 0.000)
Se (0.250, 0.250, 0.250)
Se (0.500, 0.500, 0.500)
Se (0.750, 0.750, 0.750)


The data favor version 1; the next most stable structure lies 0.332 eV/atom above it.